(1)
The following is a DFT calculation (PBE) of a relaxed Ce3MnCd crystal.

Cell lengths 5.0620, 5.0620, 5.0620 Å; angles 90.00, 90.00, 90.00 degrees
Closest atoms and distances in Å follow each position.
Space group Pm-3m (No. 221)
One atom of each set of equivalent atoms:
Ce  0.0000  0.0000  0.5000  2 Mn 2.53
Mn  0.0000  0.0000  0.0000  6 Ce 2.53
Cd  0.5000  0.5000  0.5000  12 Ce 3.58

Calculated values
Uncorrected energy ... -5.610 eV per atom
E_form ... -0.2 eV per formula unit
Fermi-level density of states ... 10.22 states/eV/f.u.

---

(2)
The following is a DFT calculation (PBE) of a relaxed Ce4MnCd crystal.

Cell lengths 6.2206, 9.9154, 9.2051 Å; angles 90.00, 92.62, 90.00 degrees
Closest atoms and distances in Å follow each position.
Space group C2/c (No. 15)
One atom of each set of equivalent atoms:
Ce  0.1755  0.1493  0.1014  3 Ce 2.84-2.91, 1 Mn 3.11
Ce  0.2298  0.4034  0.5523  2 Ce 2.84-2.89, 2 Mn 3.03-3.07
Mn  0.0000  0.4059  0.2500  6 Ce 3.03-3.11, 2 Cd 3.13
Cd  0.0000  0.1337  0.7500  2 Mn 3.13, 10 Ce 3.21-3.37

Calculated values
Uncorrected energy ... -5.580 eV per atom
E_form ... 0.3 eV per formula unit
Fermi-level density of states ... 14.04 states/eV/f.u.

---

(3)
The following is a DFT calculation (PBE) of a relaxed CeMnCd crystal.

Cell lengths 6.8161, 6.6554, 5.5259 Å; angles 90.00, 96.95, 90.00 degrees
Closest atoms and distances in Å follow each position.
Space group P2_1/c (No. 14)
One atom of each set of equivalent atoms:
Ce  0.2353  0.1048  0.4108  1 Mn 2.11
Mn  0.0114  0.1754  0.8753  1 Ce 2.11
Cd  0.3297  0.6296  0.4160  3 Mn 2.73-2.96, 1 Cd 2.95

Calculated values
Uncorrected energy ... -5.334 eV per atom
E_form ... 0.0 eV per formula unit
Fermi-level density of states ... 3.04 states/eV/f.u.

---

Copy entry 3 word for word.
The following is a DFT calculation (PBE) of a relaxed CeMnCd crystal.

Cell lengths 6.8161, 6.6554, 5.5259 Å; angles 90.00, 96.95, 90.00 degrees
Closest atoms and distances in Å follow each position.
Space group P2_1/c (No. 14)
One atom of each set of equivalent atoms:
Ce  0.2353  0.1048  0.4108  1 Mn 2.11
Mn  0.0114  0.1754  0.8753  1 Ce 2.11
Cd  0.3297  0.6296  0.4160  3 Mn 2.73-2.96, 1 Cd 2.95

Calculated values
Uncorrected energy ... -5.334 eV per atom
E_form ... 0.0 eV per formula unit
Fermi-level density of states ... 3.04 states/eV/f.u.

---

Question: Which value of uncorrected energy does entry 3 give?
Answer: -5.334 eV per atom

---

Question: Number 2 is which compound?
Answer: Ce4MnCd